Record 1
A geometry-optimized AgHg5Se4 structure. Source: Alexandria, functional PBE.

Its calculated total energy is -1.842 eV/atom. As for the energy relative to the elements, uncorrected: -12.5 meV/atom. The calculated density comes out at 8.663 g/cm3. For the total magnetization, the calculation gives 0.0 μB per formula unit. As for the density of states at the Fermi level: 0.268 states/eV per atom.

The space group is C2/m (No. 12) and the conventional cell measures 16.500, 4.107 and 8.363 Å, with angles of 90.00, 105.17 and 90.00 degrees. The distinct sites, in fractional coordinates, are Ag at (0.000, 0.000, 0.000), Hg at (0.000, 0.000, 0.500), Hg at (0.160, 0.500, 0.866), Hg at (0.214, 0.500, 0.378), Se at (0.002, 0.500, 0.258) and Se at (0.178, 0.000, 0.124).


Record 2
A geometry-optimized Y2BeGaCu6 structure. Source: Alexandria, functional PBE.

Its calculated total energy is -4.574 eV/atom. The calculated density comes out at 6.454 g/cm3. For the total magnetization, the calculation gives 0.0 μB per formula unit. As for the density of states at the Fermi level: 0.538 states/eV per atom.

The space group is P-1 (No. 2) and the conventional cell measures 5.822, 5.825 and 6.502 Å, with angles of 90.10, 116.32 and 119.90 degrees. The distinct sites, in fractional coordinates, are Y at (0.058, 0.280, 0.338), Be at (0.500, 0.500, 0.000), Ga at (0.500, 0.000, 0.500), Cu at (0.019, 0.258, 0.843), Cu at (0.410, 0.738, 0.153) and Cu at (0.413, 0.173, 0.154).


Record 3
A geometry-optimized TlReAu2 structure. Source: Alexandria, functional PBE.

Its calculated total energy is -4.485 eV/atom. As for the distance to the lowest polymorph of the same formula: 336 meV per atom. The calculated density comes out at 17.425 g/cm3. For the total magnetization, the calculation gives 1.5 μB per formula unit. As for the density of states at the Fermi level: 0.984 states/eV per atom.

The space group is F-43m (No. 216) and the conventional cell measures 6.687, 6.687 and 6.687 Å, with angles of 90.00, 90.00 and 90.00 degrees. The distinct sites, in fractional coordinates, are Tl at (0.000, 0.000, 0.000), Re at (0.250, 0.250, 0.750), Au at (0.000, 0.000, 0.500) and Au at (0.250, 0.250, 0.250).


Record 4
A geometry-optimized TlSnHg structure. Source: Alexandria, functional PBE.

Its calculated total energy is -2.185 eV/atom. As for the distance to the lowest polymorph of the same formula: 0 meV per atom. The calculated density comes out at 8.714 g/cm3. For the total magnetization, the calculation gives 0.0 μB per formula unit. As for the density of states at the Fermi level: 0.442 states/eV per atom.

The space group is Cm (No. 8) and the conventional cell measures 7.749, 4.345 and 12.156 Å, with angles of 90.00, 102.79 and 90.00 degrees. The distinct sites, in fractional coordinates, are Tl at (0.000, 0.000, 0.000), Tl at (0.004, 0.500, 0.517), Sn at (0.109, 0.500, 0.821), Sn at (0.393, 0.500, 0.697), Hg at (0.117, 0.000, 0.338) and Hg at (0.237, 0.500, 0.184).


Record 5
A geometry-optimized La2PtWI structure. Source: Alexandria, functional PBE.

Its calculated total energy is -5.046 eV/atom. As for the energy relative to the elements, uncorrected: 1033.6 meV/atom. The calculated density comes out at 7.844 g/cm3. For the total magnetization, the calculation gives 0.7 μB per formula unit. As for the density of states at the Fermi level: 1.343 states/eV per atom.

The space group is P4/mmm (No. 123) and the conventional cell measures 5.866, 5.866 and 4.821 Å, with angles of 90.00, 90.00 and 90.00 degrees. The distinct sites, in fractional coordinates, are La at (0.000, 0.500, 0.000), Pt at (0.000, 0.000, 0.500), W at (0.500, 0.500, 0.500) and I at (0.500, 0.500, 0.000).


Record 6
A geometry-optimized Ho2ErSc7 structure. Source: Alexandria, functional PBE.

Its calculated total energy is -5.747 eV/atom. As for the distance to the lowest polymorph of the same formula: 0 meV per atom. The calculated density comes out at 5.139 g/cm3. For the total magnetization, the calculation gives 0.0 μB per formula unit. As for the density of states at the Fermi level: 1.720 states/eV per atom.

The space group is P-1 (No. 2) and the conventional cell measures 5.756, 5.786 and 8.830 Å, with angles of 102.49, 108.92 and 99.75 degrees. The distinct sites, in fractional coordinates, are Ho at (0.206, 0.103, 0.206), Er at (0.000, 0.500, 0.000), Sc at (0.000, 0.000, 0.500), Sc at (0.198, 0.595, 0.696), Sc at (0.399, 0.199, 0.897) and Sc at (0.402, 0.701, 0.403).


> The highest total magnetization belongs to which entry?

TlReAu2


> Number 1 is which compound?

AgHg5Se4


> Which value of calculated density does entry 6 give?

5.139 g/cm3


> Look up the total magnetization of the sixth one.

0.0 μB per formula unit